[1]
PBE KDyTl2Cl6, relaxed; formation energy without anion corrections = -1.749 eV/atom; symmetry = R3, No. 146
1.0
-3.574 2.963 -6.263
-6.188 -3.634 -3.045
-7.219 3.252 0.803
K Dy Tl Cl
1 1 2 6
direct
0.814 0.814 0.558 K
0.321 0.321 0.037 Dy
0.533 0.533 0.400 Tl
0.027 0.027 0.918 Tl
0.563 0.188 0.251 Cl
0.188 0.998 0.251 Cl
0.998 0.563 0.251 Cl
0.440 0.655 0.783 Cl
0.656 0.122 0.783 Cl
0.122 0.440 0.783 Cl

[2]
PBE Sm6AsRh2I3, relaxed; formation energy without anion corrections = -1.015 eV/atom; symmetry = C2/m, No. 12
1.0
7.313 0.000 0.005
-3.654 6.334 0.005
-1.215 -2.104 7.908
Sm As Rh I
6 1 2 3
direct
0.938 0.589 0.813 Sm
0.713 0.713 0.187 Sm
0.062 0.411 0.187 Sm
0.589 0.938 0.813 Sm
0.287 0.287 0.813 Sm
0.411 0.062 0.187 Sm
0.000 0.000 0.000 As
0.333 0.667 0.000 Rh
0.667 0.333 0.000 Rh
0.163 0.837 0.500 I
0.837 0.163 0.500 I
0.500 0.500 0.500 I

[3]
PBE Tc2RhSe, relaxed; formation energy without anion corrections = 0.207 eV/atom; symmetry = P2/m, No. 10
1.0
-3.903 -0.705 -0.677
0.708 -2.019 -1.979
0.394 -4.659 2.585
Rh Se Tc
1 1 2
direct
0.500 0.250 0.250 Rh
0.500 0.750 0.750 Se
0.000 0.880 0.993 Tc
0.000 0.620 0.507 Tc

[4]
PBE CsCuI2Br, relaxed; formation energy without anion corrections = -0.702 eV/atom; symmetry = P4/mmm, No. 123
1.0
-0.130 -2.521 4.979
3.011 -4.225 -2.061
4.613 2.589 1.432
Cs I Cu Br
1 2 1 1
direct
0.500 0.500 0.500 Cs
0.000 0.500 0.000 I
0.500 0.000 0.000 I
0.000 0.000 0.000 Cu
0.000 0.000 0.500 Br

[5]
PBE KGa2Ru, relaxed; calculated formation energy = 0.16 eV/atom; symmetry = I4_1/amd, No. 141
1.0
5.911 0.000 0.000
0.000 5.911 0.000
2.956 2.956 7.363
Ru K Ga
2 2 4
direct
0.000 0.000 0.000 Ru
0.750 0.250 0.500 Ru
0.500 0.500 0.000 K
0.250 0.750 0.500 K
0.874 0.125 0.250 Ga
0.876 0.625 0.250 Ga
0.375 0.126 0.750 Ga
0.875 0.124 0.750 Ga

[6]
PBE Ho2PuSe4, relaxed; offset from the most stable computed form = 0.023 eV/atom; formation energy without anion corrections = -1.718 eV/atom; symmetry = I-42d, No. 122
1.0
-4.209 -6.157 1.091
3.527 -0.573 -6.637
5.143 0.654 5.472
Ho Pu Se
4 2 8
direct
0.375 0.879 0.754 Ho
0.504 0.379 0.625 Ho
0.875 0.121 0.496 Ho
0.246 0.621 0.125 Ho
0.750 0.500 0.250 Pu
0.000 0.000 0.000 Pu
0.768 0.249 0.869 Se
0.982 0.601 0.731 Se
0.620 0.751 0.519 Se
0.130 0.399 0.381 Se
0.481 0.101 0.232 Se
0.619 0.749 0.018 Se
0.269 0.251 0.870 Se
0.131 0.899 0.380 Se

[7]
PBE Cs4AsO, relaxed; formation energy without anion corrections = -0.537 eV/atom; symmetry = C2/c, No. 15
1.0
8.733 -1.300 0.000
-3.928 9.638 0.000
-2.402 -4.169 6.999
Cs As O
8 2 2
direct
0.922 0.240 0.881 Cs
0.849 0.807 0.714 Cs
0.459 0.641 0.881 Cs
0.365 0.907 0.714 Cs
0.635 0.093 0.286 Cs
0.541 0.359 0.119 Cs
0.151 0.193 0.286 Cs
0.078 0.760 0.119 Cs
0.398 0.648 0.297 As
0.602 0.352 0.703 As
0.264 0.014 0.028 O
0.736 0.986 0.972 O

[8]
PBE AcMg3Ni2, relaxed; offset from the most stable computed form = 0.027 eV/atom; calculated formation energy = -0.13 eV/atom; symmetry = P6/mmm, No. 191
1.0
4.245 0.000 0.000
0.000 5.058 -2.913
0.000 -0.007 5.836
Ac Mg Ni
1 3 2
direct
0.000 0.001 0.000 Ac
0.500 0.001 0.500 Mg
0.500 0.501 0.500 Mg
0.500 0.501 0.000 Mg
0.000 0.334 0.667 Ni
0.000 0.668 0.333 Ni

[9]
PBE Ac4RhSeCl2, relaxed; formation energy without anion corrections = -1.392 eV/atom; symmetry = P2/m, No. 10
1.0
-0.388 -2.948 -3.066
6.612 2.946 -3.669
2.184 -5.434 4.948
Ac Rh Se Cl
4 1 1 2
direct
0.500 0.260 0.239 Ac
0.500 0.740 0.761 Ac
0.000 0.281 0.781 Ac
0.000 0.719 0.219 Ac
0.500 0.500 0.000 Rh
0.000 0.000 0.000 Se
0.500 0.000 0.500 Cl
0.000 0.500 0.500 Cl

[10]
PBE NbTcSbI2, relaxed; offset from the most stable computed form = 0.000 eV/atom; formation energy without anion corrections = 1.160 eV/atom; symmetry = P4/mmm, No. 123
1.0
5.508 0.000 0.000
0.000 5.534 0.000
0.000 0.000 5.508
I Sb Nb Tc
2 1 1 1
direct
0.000 0.000 0.500 I
0.500 0.000 0.000 I
0.000 0.500 0.000 Sb
0.000 0.000 0.000 Nb
0.500 0.500 0.500 Tc

[11]
PBE TcRhPb2, relaxed; offset from the most stable computed form = 0.176 eV/atom; calculated formation energy = 0.44 eV/atom; symmetry = R3m, No. 160
1.0
10.784 0.016 0.009
10.338 3.071 0.009
10.338 1.511 2.674
Pb Rh Tc
2 1 1
direct
0.017 0.017 0.017 Pb
0.232 0.232 0.232 Pb
0.489 0.489 0.489 Rh
0.762 0.762 0.762 Tc

[12]
PBE LiTm2Cd, relaxed; offset from the most stable computed form = 0.240 eV/atom; calculated formation energy = 0.13 eV/atom; symmetry = R-3m, No. 166
1.0
-1.613 2.812 -0.946
-0.325 0.739 -3.279
-10.513 -4.583 -1.729
Tm Li Cd
2 1 1
direct
0.093 0.093 0.722 Tm
0.907 0.907 0.278 Tm
0.000 0.000 0.000 Li
0.500 0.500 0.500 Cd

[13]
PBE HfSe2BrN, relaxed; offset from the most stable computed form = 0.000 eV/atom; formation energy without anion corrections = 0.091 eV/atom; symmetry = P4/mmm, No. 123
1.0
5.316 0.000 0.000
0.000 5.316 0.000
0.000 0.000 4.076
Hf Se Br N
1 2 1 1
direct
0.000 0.000 0.000 Hf
0.000 0.500 0.000 Se
0.500 0.000 0.000 Se
0.500 0.500 0.500 Br
0.000 0.000 0.500 N

[14]
PBE Mo2PtRh3, relaxed; offset from the most stable computed form = 0.000 eV/atom; calculated formation energy = -0.19 eV/atom; symmetry = Fddd, No. 70
1.0
-1.784 -2.428 3.689
0.715 -2.940 -3.678
8.286 1.153 2.730
Mo Pt Rh
4 2 6
direct
0.048 0.298 0.095 Mo
0.702 0.952 0.405 Mo
0.952 0.702 0.905 Mo
0.298 0.048 0.595 Mo
0.125 0.875 0.250 Pt
0.875 0.125 0.750 Pt
0.211 0.461 0.423 Rh
0.539 0.789 0.077 Rh
0.789 0.539 0.577 Rh
0.461 0.211 0.923 Rh
0.625 0.375 0.250 Rh
0.375 0.625 0.750 Rh

[15]
PBE Fe3IBr9, relaxed; formation energy without anion corrections = -0.381 eV/atom; symmetry = C222_1, No. 20
1.0
10.224 2.506 0.000
-0.235 10.524 0.000
0.000 0.000 11.674
Fe I Br
6 2 18
direct
0.239 0.795 0.101 Fe
0.761 0.205 0.601 Fe
0.795 0.239 0.899 Fe
0.205 0.761 0.399 Fe
0.175 0.175 0.000 Fe
0.825 0.825 0.500 Fe
0.606 0.606 0.000 I
0.394 0.394 0.500 I
0.224 0.946 0.935 Br
0.776 0.054 0.435 Br
0.946 0.224 0.065 Br
0.054 0.776 0.565 Br
0.195 0.299 0.842 Br
0.805 0.701 0.342 Br
0.299 0.195 0.158 Br
0.701 0.805 0.658 Br
0.244 0.538 0.333 Br
0.756 0.462 0.833 Br
0.538 0.244 0.667 Br
0.462 0.756 0.167 Br
0.381 0.831 0.469 Br
0.619 0.169 0.969 Br
0.831 0.381 0.531 Br
0.169 0.619 0.031 Br
0.094 0.906 0.250 Br
0.906 0.094 0.750 Br

[16]
PBE Pm5Dy6Sc, relaxed; calculated formation energy = 0.03 eV/atom; symmetry = C2/m, No. 12
1.0
-1.967 -2.791 3.713
6.655 -7.294 -1.975
2.514 8.145 4.038
Sc Pm Dy
1 5 6
direct
0.000 0.000 0.000 Sc
0.664 0.164 0.328 Pm
0.334 0.334 0.668 Pm
0.000 0.500 0.000 Pm
0.666 0.666 0.332 Pm
0.336 0.836 0.672 Pm
0.835 0.588 0.670 Dy
0.835 0.082 0.670 Dy
0.500 0.755 0.000 Dy
0.500 0.245 0.000 Dy
0.165 0.918 0.330 Dy
0.165 0.412 0.330 Dy

[17]
PBE CrHg2PdS, relaxed; formation energy without anion corrections = 0.598 eV/atom; symmetry = P4/mmm, No. 123
1.0
5.143 0.000 0.000
0.000 4.404 0.000
0.000 0.000 5.143
Cr S Hg Pd
1 1 2 1
direct
0.000 0.500 0.000 Cr
0.000 0.000 0.000 S
0.000 0.000 0.500 Hg
0.500 0.000 0.000 Hg
0.500 0.500 0.500 Pd

[18]
PBE Pr12Nd6Dy, relaxed; offset from the most stable computed form = 0.000 eV/atom; calculated formation energy = 0.12 eV/atom; symmetry = R-3, No. 148
1.0
-7.577 -0.072 4.529
-2.679 -7.193 -4.359
3.587 -5.214 6.154
Pr Nd Dy
12 6 1
direct
0.781 0.535 0.434 Pr
0.434 0.781 0.535 Pr
0.535 0.434 0.781 Pr
0.219 0.465 0.566 Pr
0.566 0.219 0.465 Pr
0.465 0.566 0.219 Pr
0.018 0.191 0.361 Pr
0.809 0.639 0.982 Pr
0.639 0.982 0.809 Pr
0.982 0.809 0.639 Pr
0.191 0.361 0.018 Pr
0.361 0.018 0.191 Pr
0.738 0.904 0.299 Nd
0.701 0.262 0.096 Nd
0.096 0.701 0.262 Nd
0.262 0.096 0.701 Nd
0.299 0.738 0.904 Nd
0.904 0.299 0.738 Nd
0.000 0.000 0.000 Dy

[19]
PBE YGe3Au, relaxed; calculated formation energy = 0.93 eV/atom; symmetry = Pm-3m, No. 221
1.0
-0.612 -5.311 0.804
1.013 -0.908 -5.232
5.275 -0.442 1.098
Y Ge Au
1 3 1
direct
0.000 0.000 0.000 Y
0.000 0.500 0.000 Ge
0.000 0.000 0.500 Ge
0.500 0.000 0.000 Ge
0.500 0.500 0.500 Au

[20]
PBE Pr2Ho3Er7, relaxed; offset from the most stable computed form = 0.033 eV/atom; calculated formation energy = 0.12 eV/atom; symmetry = Cmmm, No. 65
1.0
3.600 0.000 0.000
0.000 5.654 0.000
0.000 -2.827 18.830
Pr Ho Er
2 3 7
direct
0.000 0.853 0.706 Pr
0.000 0.147 0.294 Pr
0.500 0.500 0.000 Ho
0.500 0.687 0.373 Ho
0.500 0.313 0.627 Ho
0.000 0.412 0.823 Er
0.000 0.769 0.539 Er
0.000 0.000 0.000 Er
0.000 0.588 0.177 Er
0.500 0.070 0.140 Er
0.500 0.930 0.860 Er
0.000 0.231 0.461 Er

[21]
PBE BaScIr2, relaxed; offset from the most stable computed form = 0.362 eV/atom; calculated formation energy = 0.07 eV/atom; symmetry = Imm2, No. 44
1.0
-4.366 4.550 0.107
-6.188 -1.217 -0.012
5.721 -0.336 2.632
Ba Ir Sc
1 2 1
direct
0.236 0.736 0.500 Ba
0.958 0.958 0.000 Ir
0.763 0.263 0.500 Ir
0.543 0.543 0.000 Sc

[22]
PBE ScP3H6O12, relaxed; symmetry = R3c, No. 161; total energy = -6.5720 eV per atom
1.0
8.433 0.000 0.000
4.216 7.303 0.000
4.216 2.434 8.636
Sc P H O
2 6 12 24
direct
0.918 0.918 0.246 Sc
0.418 0.418 0.746 Sc
0.169 0.509 0.494 P
0.509 0.828 0.494 P
0.828 0.169 0.494 P
0.328 0.009 0.994 P
0.009 0.669 0.994 P
0.669 0.328 0.994 P
0.381 0.231 0.458 H
0.231 0.930 0.458 H
0.930 0.381 0.458 H
0.430 0.731 0.958 H
0.731 0.881 0.958 H
0.881 0.430 0.958 H
0.446 0.440 0.193 H
0.440 0.921 0.193 H
0.921 0.446 0.193 H
0.421 0.940 0.693 H
0.940 0.946 0.693 H
0.946 0.421 0.693 H
0.100 0.697 0.379 O
0.697 0.824 0.379 O
0.824 0.100 0.379 O
0.324 0.197 0.879 O
0.197 0.600 0.879 O
0.600 0.324 0.879 O
0.237 0.510 0.611 O
0.510 0.642 0.611 O
0.642 0.237 0.611 O
0.142 0.010 0.111 O
0.010 0.737 0.111 O
0.737 0.142 0.111 O
0.332 0.364 0.393 O
0.364 0.912 0.393 O
0.912 0.332 0.393 O
0.412 0.864 0.893 O
0.864 0.832 0.893 O
0.832 0.412 0.893 O
0.008 0.422 0.581 O
0.422 0.989 0.581 O
0.989 0.008 0.581 O
0.489 0.922 0.081 O
0.922 0.508 0.081 O
0.508 0.489 0.081 O